# Ba4Sb2I PBE-GGA optimized geometry
# * total energy: -25.4 eV per formula unit
# * total magnetic moment: 3.65 μB/cell
data_Ba4Sb2I
_symmetry_space_group_name_H-M 'I -4 2 d'
_symmetry_Int_Tables_number 122
_symmetry_space_group_name_Hall 'I -4 2bw'
_cell_length_a 10.525
_cell_length_b 10.525
_cell_length_c 10.746
_cell_angle_alpha 90.00
_cell_angle_beta 90.00
_cell_angle_gamma 90.00
loop_
_atom_site_label
_atom_site_type_symbol
_atom_site_fract_x
_atom_site_fract_y
_atom_site_fract_z
Ba1 Ba 0.078 0.676 0.434
Sb1 Sb 0.133 0.750 0.125
I1 I 0.000 0.000 0.500


# Ba2SbI PBE-GGA optimized geometry
# * total energy: -15.0 eV per formula unit
# * total magnetic moment: 0.00 μB/cell
data_Ba2SbI
_symmetry_space_group_name_H-M 'R 3 m'
_symmetry_Int_Tables_number 160
_symmetry_space_group_name_Hall 'R 3 -2"'
_cell_length_a 5.0039
_cell_length_b 5.0039
_cell_length_c 26.3399
_cell_angle_alpha 90.00
_cell_angle_beta 90.00
_cell_angle_gamma 120.00
loop_
_atom_site_label
_atom_site_type_symbol
_atom_site_fract_x
_atom_site_fract_y
_atom_site_fract_z
Ba1 Ba 0.0000 0.0000 0.0000
Ba2 Ba 0.0000 0.0000 0.1919
Sb1 Sb 0.0000 0.0000 0.5959
I1 I 0.0000 0.0000 0.7658


# Ba2SbI PBE-GGA optimized geometry
# * total energy: -10.2 eV per formula unit
# * total magnetic moment: 0.00 μB/cell
data_Ba2SbI
_symmetry_space_group_name_H-M 'I m m m'
_symmetry_Int_Tables_number 71
_symmetry_space_group_name_Hall '-I 2 2'
_cell_length_a 10.426
_cell_length_b 11.469
_cell_length_c 13.090
_cell_angle_alpha 90.00
_cell_angle_beta 90.00
_cell_angle_gamma 90.00
loop_
_atom_site_label
_atom_site_type_symbol
_atom_site_fract_x
_atom_site_fract_y
_atom_site_fract_z
Ba1 Ba 0.000 0.000 0.237
Sb1 Sb 0.000 0.000 0.000
I1 I 0.000 0.000 0.500


# BaSb3I PBE-GGA optimized geometry
# * excess energy over the best structure of this formula in the dataset: 630 meV/atom
# * total energy: -11.4 eV per formula unit
# * total magnetic moment: 0.00 μB/cell
data_BaSb3I
_symmetry_space_group_name_H-M 'P m -3 m'
_symmetry_Int_Tables_number 221
_symmetry_space_group_name_Hall '-P 4 2 3'
_cell_length_a 6.363
_cell_length_b 6.363
_cell_length_c 6.363
_cell_angle_alpha 90.00
_cell_angle_beta 90.00
_cell_angle_gamma 90.00
loop_
_atom_site_label
_atom_site_type_symbol
_atom_site_fract_x
_atom_site_fract_y
_atom_site_fract_z
Ba1 Ba 0.000 0.000 0.000
Sb1 Sb 0.000 0.000 0.500
I1 I 0.500 0.500 0.500


# Ba4SbSe2I PBE-GGA optimized geometry
# * total energy: -33.8 eV per formula unit
# * total magnetic moment: 0.00 μB/cell
data_Ba4SbSe2I
_symmetry_space_group_name_H-M 'P 1 2/m 1'
_symmetry_Int_Tables_number 10
_symmetry_space_group_name_Hall '-P 2y'
_cell_length_a 8.434
_cell_length_b 4.894
_cell_length_c 8.472
_cell_angle_alpha 90.00
_cell_angle_beta 108.77
_cell_angle_gamma 90.00
loop_
_atom_site_label
_atom_site_type_symbol
_atom_site_fract_x
_atom_site_fract_y
_atom_site_fract_z
Ba1 Ba 0.227 0.000 0.226
Ba2 Ba 0.243 0.500 0.761
Sb1 Sb 0.000 0.000 0.500
Se1 Se 0.000 0.500 0.000
Se2 Se 0.500 0.000 0.000
I1 I 0.500 0.500 0.500


# Ba6Sb2Se3I PBE-GGA optimized geometry
# * total energy: -50.8 eV per formula unit
# * total magnetic moment: 0.00 μB/cell
data_Ba6Sb2Se3I
_symmetry_space_group_name_H-M 'C 1 2/m 1'
_symmetry_Int_Tables_number 12
_symmetry_space_group_name_Hall '-C 2y'
_cell_length_a 21.485
_cell_length_b 4.697
_cell_length_c 10.121
_cell_angle_alpha 90.00
_cell_angle_beta 104.19
_cell_angle_gamma 90.00
loop_
_atom_site_label
_atom_site_type_symbol
_atom_site_fract_x
_atom_site_fract_y
_atom_site_fract_z
Ba1 Ba 0.002 0.000 0.225
Ba2 Ba 0.167 0.500 0.093
Ba3 Ba 0.175 0.500 0.577
Sb1 Sb 0.163 0.000 0.827
Se1 Se 0.000 0.500 0.000
Se2 Se 0.163 0.000 0.335
I1 I 0.000 0.500 0.500


# Ba4SbSeI2 PBE-GGA optimized geometry
# * total energy: -30.9 eV per formula unit
# * total magnetic moment: 0.00 μB/cell
data_Ba4SbSeI2
_symmetry_space_group_name_H-M 'P 1 2/m 1'
_symmetry_Int_Tables_number 10
_symmetry_space_group_name_Hall '-P 2y'
_cell_length_a 8.504
_cell_length_b 4.947
_cell_length_c 8.724
_cell_angle_alpha 90.00
_cell_angle_beta 109.17
_cell_angle_gamma 90.00
loop_
_atom_site_label
_atom_site_type_symbol
_atom_site_fract_x
_atom_site_fract_y
_atom_site_fract_z
Ba1 Ba 0.234 0.000 0.215
Ba2 Ba 0.255 0.500 0.780
Sb1 Sb 0.500 0.000 0.000
Se1 Se 0.000 0.500 0.000
I1 I 0.000 0.000 0.500
I2 I 0.500 0.500 0.500


# BaSbSeI2 PBE-GGA optimized geometry
# * excess energy over the best structure of this formula in the dataset: 0 meV/atom
# * total energy: -14.7 eV per formula unit
# * total magnetic moment: 0.02 μB/cell
data_BaSbSeI2
_symmetry_space_group_name_H-M 'P 4/m m m'
_symmetry_Int_Tables_number 123
_symmetry_space_group_name_Hall '-P 4 2'
_cell_length_a 5.878
_cell_length_b 5.878
_cell_length_c 5.600
_cell_angle_alpha 90.00
_cell_angle_beta 90.00
_cell_angle_gamma 90.00
loop_
_atom_site_label
_atom_site_type_symbol
_atom_site_fract_x
_atom_site_fract_y
_atom_site_fract_z
Ba1 Ba 0.000 0.000 0.000
Sb1 Sb 0.500 0.500 0.000
Se1 Se 0.500 0.500 0.500
I1 I 0.000 0.500 0.500


# BaSbSeI2 PBE-GGA optimized geometry
# * excess energy over the best structure of this formula in the dataset: 590 meV/atom
# * total energy: -11.8 eV per formula unit
# * total magnetic moment: 2.23 μB/cell
data_BaSbSeI2
_symmetry_space_group_name_H-M 'P 4/m m m'
_symmetry_Int_Tables_number 123
_symmetry_space_group_name_Hall '-P 4 2'
_cell_length_a 6.531
_cell_length_b 6.531
_cell_length_c 7.170
_cell_angle_alpha 90.00
_cell_angle_beta 90.00
_cell_angle_gamma 90.00
loop_
_atom_site_label
_atom_site_type_symbol
_atom_site_fract_x
_atom_site_fract_y
_atom_site_fract_z
Ba1 Ba 0.000 0.000 0.000
Sb1 Sb 0.000 0.000 0.500
Se1 Se 0.500 0.500 0.500
I1 I 0.000 0.500 0.000


# BaSiSb2I PBE-GGA optimized geometry
# * excess energy over the best structure of this formula in the dataset: 1225 meV/atom
# * total energy: -12.2 eV per formula unit
# * total magnetic moment: 1.36 μB/cell
data_BaSiSb2I
_symmetry_space_group_name_H-M 'P 4/m m m'
_symmetry_Int_Tables_number 123
_symmetry_space_group_name_Hall '-P 4 2'
_cell_length_a 6.577
_cell_length_b 6.577
_cell_length_c 6.436
_cell_angle_alpha 90.00
_cell_angle_beta 90.00
_cell_angle_gamma 90.00
loop_
_atom_site_label
_atom_site_type_symbol
_atom_site_fract_x
_atom_site_fract_y
_atom_site_fract_z
Ba1 Ba 0.000 0.000 0.000
Si1 Si 0.500 0.500 0.500
Sb1 Sb 0.000 0.500 0.000
I1 I 0.000 0.000 0.500


# BaSiSb2I PBE-GGA optimized geometry
# * excess energy over the best structure of this formula in the dataset: 0 meV/atom
# * total energy: -18.4 eV per formula unit
# * total magnetic moment: 0.00 μB/cell
data_BaSiSb2I
_symmetry_space_group_name_H-M 'P 4/m m m'
_symmetry_Int_Tables_number 123
_symmetry_space_group_name_Hall '-P 4 2'
_cell_length_a 5.272
_cell_length_b 5.272
_cell_length_c 6.211
_cell_angle_alpha 90.00
_cell_angle_beta 90.00
_cell_angle_gamma 90.00
loop_
_atom_site_label
_atom_site_type_symbol
_atom_site_fract_x
_atom_site_fract_y
_atom_site_fract_z
Ba1 Ba 0.000 0.000 0.000
Si1 Si 0.500 0.500 0.500
Sb1 Sb 0.000 0.500 0.500
I1 I 0.500 0.500 0.000


# BaSnSbI2 PBE-GGA optimized geometry
# * excess energy over the best structure of this formula in the dataset: 489 meV/atom
# * total energy: -13.3 eV per formula unit
# * total magnetic moment: 1.00 μB/cell
data_BaSnSbI2
_symmetry_space_group_name_H-M 'P 4/m m m'
_symmetry_Int_Tables_number 123
_symmetry_space_group_name_Hall '-P 4 2'
_cell_length_a 6.492
_cell_length_b 6.492
_cell_length_c 6.930
_cell_angle_alpha 90.00
_cell_angle_beta 90.00
_cell_angle_gamma 90.00
loop_
_atom_site_label
_atom_site_type_symbol
_atom_site_fract_x
_atom_site_fract_y
_atom_site_fract_z
Ba1 Ba 0.000 0.000 0.000
Sn1 Sn 0.500 0.500 0.500
Sb1 Sb 0.000 0.000 0.500
I1 I 0.000 0.500 0.000